Entry 1:
PBE-GGA LaReIr2, relaxed; density = 16.35 Mg/m³; V = 18.02 A^3/atom; spin magnetization = 0.0000 μB/atom; formation enthalpy at 0 K = 0.67 eV per formula unit
1.0
4.985 0.000 0.000
0.000 4.985 0.000
0.000 0.000 2.901
La Re Ir
1 1 2
Cartesian
0.000 0.000 0.000
2.492 2.492 0.000
0.000 2.492 1.450
2.492 0.000 1.450

Entry 2:
PBE-GGA LaRe3Ir, relaxed; density = 13.30 Mg/m³; V = 22.21 A^3/atom; spin magnetization = 0.0000 μB/atom; formation enthalpy at 0 K = 6.83 eV per formula unit
1.0
4.807 0.000 0.000
0.000 4.807 0.000
0.000 0.000 4.807
La Re Ir
1 3 1
Cartesian
0.000 0.000 0.000
0.000 2.403 2.403
2.403 0.000 2.403
2.403 2.403 0.000
2.403 2.403 2.403

Entry 3:
PBE-GGA LaRe2Ir, relaxed; density = 16.57 Mg/m³; V = 17.63 A^3/atom; spin magnetization = 0.0249 μB/atom; formation enthalpy at 0 K = 1.63 eV per formula unit
1.0
1.442 0.832 9.796
-1.442 0.832 9.796
0.000 -1.665 9.796
La Re Ir
1 2 1
Cartesian
0.000 0.000 0.000
0.000 0.000 6.959
0.000 0.000 14.663
0.000 0.000 22.318

Entry 4:
PBE-GGA LaRe4Ir, relaxed; density = 16.57 Mg/m³; V = 17.97 A^3/atom; spin magnetization = 0.0000 μB/atom; formation enthalpy at 0 K = 2.74 eV per formula unit
1.0
0.000 3.778 3.778
3.778 0.000 3.778
3.778 3.778 0.000
La Re Ir
1 4 1
Cartesian
0.000 0.000 0.000
4.716 2.840 2.840
2.840 4.716 2.840
2.840 2.840 4.716
4.716 4.716 4.716
1.889 1.889 1.889

Entry 5:
PBE-GGA LaRe2Ir, relaxed; density = 15.78 Mg/m³; V = 18.51 A^3/atom; spin magnetization = 0.0000 μB/atom; formation enthalpy at 0 K = 1.41 eV per formula unit
1.0
-1.422 2.432 5.355
1.422 -2.432 5.355
1.422 2.432 -5.355
La Re Ir
1 2 1
Cartesian
0.000 0.000 0.000
1.422 0.000 3.025
0.000 2.432 2.331
0.000 0.000 5.355

Entry 6:
PBE-GGA LaRe2Ir, relaxed; density = 16.50 Mg/m³; V = 17.70 A^3/atom; spin magnetization = 0.0002 μB/atom; formation enthalpy at 0 K = 3.12 eV per formula unit
1.0
0.000 3.284 3.284
3.284 0.000 3.284
3.284 3.284 0.000
La Re Ir
1 2 1
Cartesian
0.000 0.000 0.000
1.642 1.642 1.642
4.925 4.925 4.925
3.284 3.284 3.284

Entry 7:
PBE-GGA LaRe2Ir, relaxed; density = 15.73 Mg/m³; V = 18.56 A^3/atom; spin magnetization = 0.0000 μB/atom; formation enthalpy at 0 K = 2.16 eV per formula unit
1.0
3.076 0.000 0.000
0.000 5.013 0.000
-0.385 0.000 4.815
La Re Ir
1 2 1
Cartesian
0.000 0.000 0.000
0.722 2.506 3.584
1.969 2.506 1.230
1.346 0.000 2.407

Entry 8:
PBE-GGA LaReIr2, relaxed; density = 15.95 Mg/m³; V = 18.47 A^3/atom; spin magnetization = 0.0721 μB/atom; formation enthalpy at 0 K = 1.76 eV per formula unit
1.0
0.000 3.330 3.330
3.330 0.000 3.330
3.330 3.330 0.000
La Re Ir
1 1 2
Cartesian
0.000 0.000 0.000
3.330 3.330 3.330
1.665 1.665 1.665
4.995 4.995 4.995